# Al4CdHg GGA-PBE optimized geometry
data_Al4CdHg
_chemical_formula_sum 'Al16 Cd4 Hg4'
_cell_length_a 7.843
_cell_length_b 7.843
_cell_length_c 7.843
_cell_angle_alpha 90.00
_cell_angle_beta 90.00
_cell_angle_gamma 90.00
_symmetry_space_group_name_H-M 'F -4 3 m'
_symmetry_Int_Tables_number 216
_symmetry_space_group_name_Hall 'F -4 2 3'
loop_
_atom_site_label
_atom_site_type_symbol
_atom_site_fract_x
_atom_site_fract_y
_atom_site_fract_z
Al1 Al 0.125 0.125 0.125
Cd1 Cd 0.250 0.250 0.750
Hg1 Hg 0.000 0.000 0.500
# ΔE_f: 210.7 meV per atom
# M_tot: 0.00 μB per formula unit
# volume: 20.10 Å³/atom

=====

# AlRuRh2 GGA-PBE optimized geometry
data_AlRuRh2
_chemical_formula_sum 'Al2 Ru2 Rh4'
_cell_length_a 8.926
_cell_length_b 2.768
_cell_length_c 4.627
_cell_angle_alpha 90.00
_cell_angle_beta 101.06
_cell_angle_gamma 90.00
_symmetry_space_group_name_H-M 'C 1 2/m 1'
_symmetry_Int_Tables_number 12
loop_
_symmetry_equiv_pos_as_xyz
'x,y,z'
'-x,-y,-z'
'-x,y,-z'
'x,-y,z'
'x+1/2,y+1/2,z'
'-x+1/2,-y+1/2,-z'
'-x+1/2,y+1/2,-z'
'x+1/2,-y+1/2,z'
loop_
_atom_site_label
_atom_site_type_symbol
_atom_site_fract_x
_atom_site_fract_y
_atom_site_fract_z
Al1 Al 0.000 0.000 0.000
Ru1 Ru 0.000 0.500 0.500
Rh1 Rh 0.248 0.500 0.251
# ΔE_f: -341.7 meV per atom
# M_tot: 0.00 μB per formula unit
# volume: 14.03 Å³/atom

=====

# InHRuPb2 GGA-PBE optimized geometry
data_InHRuPb2
_chemical_formula_sum 'In1 H1 Ru1 Pb2'
_cell_length_a 4.679
_cell_length_b 4.679
_cell_length_c 4.453
_cell_angle_alpha 90.00
_cell_angle_beta 90.00
_cell_angle_gamma 90.00
_symmetry_space_group_name_H-M 'P 4/m m m'
_symmetry_Int_Tables_number 123
_symmetry_space_group_name_Hall '-P 4 2'
loop_
_atom_site_label
_atom_site_type_symbol
_atom_site_fract_x
_atom_site_fract_y
_atom_site_fract_z
In1 In 0.000 0.000 0.000
H1 H 0.000 0.000 0.500
Ru1 Ru 0.500 0.500 0.000
Pb1 Pb 0.000 0.500 0.500
# VASP energy: -3.89 eV/atom
# M_tot: 0.02 μB per formula unit
# volume: 19.50 Å³/atom